Record 1
# IrSe3Br9 | the Alexandria database | PBEsol | optimized geometry
data_IrSe3Br9
_space_group_name_H-M_alt 'P 1'
_space_group_IT_number 1
_cell_length_a 7.8949
_cell_length_b 8.3136
_cell_length_c 13.1296
_cell_angle_alpha 82.41
_cell_angle_beta 85.41
_cell_angle_gamma 67.69
loop_
_space_group_symop_operation_xyz
'x,y,z'
loop_
_atom_site_label
_atom_site_type_symbol
_atom_site_fract_x
_atom_site_fract_y
_atom_site_fract_z
Br1 Br 0.8927 0.0762 0.1830
Br2 Br 0.6529 0.1265 0.9394
Se1 Se 0.1508 0.1456 0.1112
Br3 Br 0.1073 0.9238 0.8170
Br4 Br 0.8362 0.5493 0.1124
Br5 Br 0.2591 0.7744 0.3554
Br6 Br 0.8443 0.4847 0.3955
Se2 Se 0.0356 0.5054 0.2502
Se3 Se 0.8492 0.8544 0.8888
Br7 Br 0.6135 0.6276 0.6312
Se4 Se 0.9644 0.4946 0.7498
Br8 Br 0.3471 0.8735 0.0606
Ir1 Ir 0.2760 0.2241 0.2472
Br9 Br 0.2579 0.0576 0.5367
Br10 Br 0.7422 0.9424 0.4633
Br11 Br 0.7409 0.2256 0.6446
Br12 Br 0.1557 0.5153 0.6045
Se5 Se 0.8665 0.9199 0.6254
Br13 Br 0.4237 0.0242 0.7474
Br14 Br 0.6236 0.5958 0.9019
Br15 Br 0.1638 0.4507 0.8876
Ir2 Ir 0.7240 0.7759 0.7528
Br16 Br 0.3764 0.4042 0.0981
Br17 Br 0.3865 0.3724 0.3688
Se6 Se 0.1335 0.0801 0.3746
Br18 Br 0.5763 0.9758 0.2526
# * relative energy among the computed polymorphs: 0 meV/atom
# * density of states at the Fermi level: 0.000 states/eV/cell
# * E_tot: -3.143 eV/atom

Record 2
# IrSeBr3 | the Alexandria database | PBEsol | optimized geometry
data_IrSeBr3
_space_group_name_H-M_alt 'P 1'
_space_group_IT_number 1
_cell_length_a 4.9501
_cell_length_b 4.9501
_cell_length_c 4.9501
_cell_angle_alpha 90.00
_cell_angle_beta 90.00
_cell_angle_gamma 90.00
loop_
_space_group_symop_operation_xyz
'x,y,z'
loop_
_atom_site_label
_atom_site_type_symbol
_atom_site_fract_x
_atom_site_fract_y
_atom_site_fract_z
Br1 Br 0.5000 0.0000 0.0000
Se1 Se 0.5000 0.5000 0.5000
Ir1 Ir 0.0000 0.0000 0.0000
Br2 Br 0.0000 0.0000 0.5000
Br3 Br 0.0000 0.5000 0.0000
# * density of states at the Fermi level: 5.285 states/eV/cell
# * E_tot: -3.311 eV/atom